A plane-wave DFT calculation with PBE-GGA was carried out for a geometry-optimized CdHgSe2 structure.

Results
Density of states at the Fermi level = 0.04 states/eV/atom
Magnetic moment = 0.00 μB per formula unit
Offset from the most stable computed form = 187 meV/atom
Crystal system = orthorhombic

a b c (Å): 7.4365 4.1208 14.0012
angles (deg): 90.00 90.00 90.00
Closest atoms and distances in Å follow each position.
Sites, in units of the cell vectors:
Cd 0.0960 0.2500 0.1151  5 Se 2.71-2.86
Cd 0.4040 0.7500 0.6151  5 Se 2.71-2.86
Cd 0.5960 0.2500 0.3849  5 Se 2.71-2.86
Cd 0.9040 0.7500 0.8849  5 Se 2.71-2.86
Hg 0.0812 0.7500 0.3867  4 Se 2.70-2.95
Hg 0.4188 0.2500 0.8867  4 Se 2.70-2.95
Hg 0.5812 0.7500 0.1133  4 Se 2.70-2.95
Hg 0.9188 0.2500 0.6133  4 Se 2.70-2.95
Se 0.0648 0.7500 0.7114  2 Hg 2.70, 2 Cd 2.71-2.86
Se 0.2218 0.7500 0.9949  3 Cd 2.82, 3 Hg 2.95-3.14
Se 0.2782 0.2500 0.4949  3 Cd 2.82, 3 Hg 2.95-3.14
Se 0.4352 0.2500 0.2114  2 Hg 2.70, 2 Cd 2.71-2.86
Se 0.5648 0.7500 0.7886  2 Hg 2.70, 2 Cd 2.71-2.86
Se 0.7218 0.7500 0.5051  3 Cd 2.82, 3 Hg 2.95-3.14
Se 0.7782 0.2500 0.0051  3 Cd 2.82, 3 Hg 2.95-3.14
Se 0.9352 0.2500 0.2886  2 Hg 2.70, 2 Cd 2.71-2.86